(1)
First-principles (PBE-GGA) data for a geometry-optimized CsAcRuO6 structure, as listed in the Alexandria database.

Energy in eV/atom: -6.39

abc: 5.947 5.947 6.422
angles: 90.00 90.00 59.99
Fractional coordinates of all 9 atoms:
1 O 0.347 0.587 0.331
2 O 0.347 0.066 0.669
3 O 0.066 0.347 0.331
4 Ac 0.667 0.667 0.500
5 O 0.587 0.066 0.331
6 O 0.587 0.347 0.669
7 Cs 0.000 0.000 0.000
8 Ru 0.333 0.333 0.500
9 O 0.066 0.587 0.669

(2)
First-principles (PBE-GGA) data for a geometry-optimized CsAcSO structure, as listed in the Alexandria database.

Energy in eV/atom: -5.66

abc: 4.151 4.151 8.115
angles: 75.18 75.18 60.00
Fractional coordinates of all 4 atoms:
1 O 0.281 0.281 0.157
2 Ac 0.987 0.987 0.038
3 Cs 0.499 0.499 0.503
4 S 0.733 0.733 0.801

(3)
First-principles (PBE-GGA) data for a geometry-optimized Cs2AcS2O6 structure, as listed in the Alexandria database.

Energy in eV/atom: -5.80

abc: 6.001 6.001 11.023
angles: 105.44 90.00 120.00
Fractional coordinates of all 11 atoms:
1 O 0.742 0.483 0.631
2 Ac 0.500 0.000 0.500
3 O 0.743 0.895 0.635
4 Cs 0.732 0.463 0.192
5 O 0.152 0.895 0.635
6 O 0.258 0.517 0.369
7 O 0.257 0.105 0.365
8 Cs 0.268 0.537 0.808
9 S 0.897 0.793 0.693
10 O 0.848 0.105 0.365
11 S 0.103 0.207 0.307

(4)
First-principles (PBE-GGA) data for a geometry-optimized CsAcSO4 structure, as listed in the Alexandria database.

Energy in eV/atom: -5.53

abc: 6.769 6.769 6.769
angles: 60.00 60.00 60.00
Fractional coordinates of all 7 atoms:
1 Ac 0.500 0.500 0.500
2 O 0.359 0.359 0.922
3 Cs 0.750 0.750 0.750
4 O 0.922 0.359 0.359
5 O 0.359 0.922 0.359
6 O 0.359 0.359 0.359
7 S 0.250 0.250 0.250

(5)
First-principles (PBE-GGA) data for a geometry-optimized CsAcS2O6 structure, as listed in the Alexandria database.

Energy in eV/atom: -6.35

abc: 7.109 7.109 8.579
angles: 105.78 105.78 97.53
Fractional coordinates of all 20 atoms:
1 S 0.663 0.902 0.216
2 O 0.073 0.552 0.743
3 O 0.927 0.448 0.257
4 S 0.098 0.337 0.284
5 O 0.693 0.831 0.374
6 Ac 0.563 0.437 0.250
7 O 0.448 0.927 0.757
8 O 0.169 0.307 0.126
9 O 0.503 0.714 0.076
10 Ac 0.437 0.563 0.750
11 O 0.831 0.693 0.874
12 O 0.552 0.073 0.243
13 O 0.714 0.503 0.576
14 S 0.337 0.098 0.784
15 O 0.286 0.497 0.424
16 Cs 0.848 0.152 0.750
17 S 0.902 0.663 0.716
18 O 0.497 0.286 0.924
19 O 0.307 0.169 0.626
20 Cs 0.152 0.848 0.250

(6)
First-principles (PBE-GGA) data for a geometry-optimized Cs3AcSb2O9 structure, as listed in the Alexandria database.

Energy in eV/atom: -5.54

abc: 6.220 6.220 7.702
angles: 90.00 90.00 120.00
Fractional coordinates of all 15 atoms:
1 Sb 0.667 0.333 0.847
2 O 0.000 0.500 0.000
3 O 0.500 0.500 0.000
4 O 0.500 0.000 0.000
5 O 0.183 0.817 0.302
6 O 0.817 0.634 0.698
7 O 0.183 0.366 0.302
8 Cs 0.667 0.333 0.335
9 O 0.817 0.183 0.698
10 Sb 0.333 0.667 0.153
11 O 0.634 0.817 0.302
12 O 0.366 0.183 0.698
13 Cs 0.333 0.667 0.665
14 Ac 0.000 0.000 0.500
15 Cs 0.000 0.000 0.000

(7)
First-principles (PBE-GGA) data for a geometry-optimized Cs2AcSbO6 structure, as listed in the Alexandria database.

Energy in eV/atom: -5.71

abc: 6.416 6.416 6.416
angles: 60.00 60.00 60.00
Fractional coordinates of all 10 atoms:
1 O 0.777 0.223 0.777
2 O 0.223 0.223 0.777
3 Cs 0.750 0.750 0.750
4 O 0.777 0.777 0.223
5 O 0.777 0.223 0.223
6 Ac 0.500 0.500 0.500
7 O 0.223 0.777 0.777
8 O 0.223 0.777 0.223
9 Sb 0.000 0.000 0.000
10 Cs 0.250 0.250 0.250

(8)
First-principles (PBE-GGA) data for a geometry-optimized Cs2AcSb2O6 structure, as listed in the Alexandria database.

Energy in eV/atom: -5.85

abc: 6.643 6.642 7.792
angles: 105.69 90.00 120.01
Fractional coordinates of all 11 atoms:
1 O 0.289 0.577 0.281
2 Ac 0.500 0.000 0.500
3 Sb 0.890 0.780 0.791
4 Sb 0.110 0.220 0.209
5 Cs 0.790 0.580 0.276
6 O 0.701 0.858 0.663
7 Cs 0.210 0.420 0.724
8 O 0.711 0.423 0.719
9 O 0.157 0.858 0.663
10 O 0.843 0.142 0.337
11 O 0.299 0.142 0.337